(1)
CdHgF after structural relaxation. Source: Alexandria via LeMat-Bulk, functional GGA-PBE.

Values from the calculation:
**Energy relative to the elements, uncorrected**: -0.91 eV/atom
**Crystal system**: trigonal
**Density of states at the Fermi level**: 0.7 states/eV/cell

abc: 3.3184 3.3184 7.0022
angles: 90.00 90.00 120.00
With the nearest neighbours (Å) after each atom.
Positions (direct):
F (0.3333, 0.6667, 0.5828)  3 Cd 2.31
Hg (0.0000, 0.0000, 0.0187)  3 Cd 3.28, 6 Hg 3.32, 3 F 3.60
Cd (0.6667, 0.3333, 0.3985)  3 F 2.31

=====

(2)
Cd4HgF8 after structural relaxation. Source: Alexandria via LeMat-Bulk, functional GGA-PBE.

Values from the calculation:
**Energy relative to the elements, uncorrected**: -1.91 eV/atom
**Crystal system**: cubic

abc: 7.2064 7.2064 7.2064
angles: 60.00 60.00 60.00
With the nearest neighbours (Å) after each atom.
Positions (direct):
Cd (0.8779, 0.3740, 0.3740)  6 F 2.31
Cd (0.3740, 0.8779, 0.3740)  6 F 2.31
Cd (0.3740, 0.3740, 0.8779)  6 F 2.31
Cd (0.3740, 0.3740, 0.3740)  6 F 2.31
Hg (0.7500, 0.7500, 0.7500)  4 F 2.70
F (0.5494, 0.1502, 0.1502)  3 Cd 2.31
F (0.1502, 0.5494, 0.1502)  3 Cd 2.31
F (0.1502, 0.1502, 0.5494)  3 Cd 2.31
F (0.1502, 0.1502, 0.1502)  3 Cd 2.31
F (0.2096, 0.5968, 0.5968)  3 Cd 2.31
F (0.5968, 0.2096, 0.5968)  3 Cd 2.31
F (0.5968, 0.5968, 0.2096)  3 Cd 2.31
F (0.5968, 0.5968, 0.5968)  3 Cd 2.31

=====

(3)
CdHgF5 after structural relaxation. Source: Alexandria via LeMat-Bulk, functional GGA-PBE.

Values from the calculation:
**Energy relative to the elements, uncorrected**: -1.50 eV/atom
**Crystal system**: monoclinic
**Density of states at the Fermi level**: 4.6 states/eV/cell

abc: 5.0301 5.0301 7.7150
angles: 85.58 85.58 90.15
With the nearest neighbours (Å) after each atom.
Positions (direct):
Cd (0.4913, 0.5087, 0.2500)  7 F 2.29-2.42
Cd (0.5087, 0.4913, 0.7500)  7 F 2.29-2.42
Hg (0.0000, 0.0000, 0.0000)  2 F 2.08
Hg (0.0000, 0.0000, 0.5000)  2 F 2.08
F (0.0634, 0.6546, 0.1565)  1 Hg 2.08
F (0.2564, 0.3846, 0.5098)  2 Cd 2.29-2.42, 1 Hg 2.33
F (0.6546, 0.0634, 0.6565)  1 Hg 2.08
F (0.8149, 0.1851, 0.2500)  1 Cd 2.31, 2 Hg 2.34
F (0.6154, 0.7436, 0.9902)  2 Cd 2.29-2.42, 1 Hg 2.33
F (0.3846, 0.2564, 0.0098)  2 Cd 2.29-2.42, 1 Hg 2.33
F (0.1851, 0.8149, 0.7500)  1 Cd 2.31, 2 Hg 2.34
F (0.3454, 0.9366, 0.3435)  1 Hg 2.08
F (0.7436, 0.6154, 0.4902)  2 Cd 2.29-2.42, 1 Hg 2.33
F (0.9366, 0.3454, 0.8435)  1 Hg 2.08

=====

(4)
Cd2HgF after structural relaxation. Source: Alexandria via LeMat-Bulk, functional GGA-PBE.

Values from the calculation:
**Energy relative to the elements, uncorrected**: -0.59 eV/atom
**Crystal system**: tetragonal
**Density of states at the Fermi level**: 1.8 states/eV/cell

abc: 3.3037 3.3037 7.3705
angles: 90.00 90.00 90.00
With the nearest neighbours (Å) after each atom.
Positions (direct):
F (0.5000, 0.5000, 0.0000)  8 Cd 2.82
Hg (0.5000, 0.5000, 0.5000)  8 Cd 3.14, 4 Hg 3.30
Cd (0.0000, 0.0000, 0.7848)  4 F 2.82, 4 Hg 3.14
Cd (0.0000, 0.0000, 0.2152)  4 F 2.82, 4 Hg 3.14

=====

(5)
Cd5Hg2F12 after structural relaxation. Source: Alexandria via LeMat-Bulk, functional GGA-PBE.

Values from the calculation:
**Energy relative to the elements, uncorrected**: -1.87 eV/atom
**Crystal system**: monoclinic

abc: 5.9795 6.9289 8.1557
angles: 100.90 90.00 115.56
With the nearest neighbours (Å) after each atom.
Positions (direct):
Cd (0.3067, 0.6135, 0.6463)  7 F 2.26-2.40
Cd (0.3305, 0.6609, 0.2222)  5 F 2.17-2.42
Cd (0.0000, 0.0000, 0.5000)  6 F 2.33-2.35
Cd (0.6695, 0.3391, 0.7778)  5 F 2.17-2.42
Cd (0.6933, 0.3865, 0.3537)  7 F 2.26-2.40
Hg (0.7237, 0.0000, 0.0000)  4 F 2.42-2.54, 1 Hg 2.68
Hg (0.2763, 0.0000, 0.0000)  4 F 2.42-2.54, 1 Hg 2.68
F (0.9759, 0.9518, 0.2065)  1 Cd 2.35, 2 Hg 2.42
F (0.0489, 0.5999, 0.8519)  2 Cd 2.20-2.26
F (0.5510, 0.5999, 0.8519)  2 Cd 2.20-2.26
F (0.0846, 0.6975, 0.4519)  4 Cd 2.33-2.42
F (0.6128, 0.6975, 0.4519)  4 Cd 2.33-2.42
F (0.4932, 0.9865, 0.6935)  2 Cd 2.17-2.28
F (0.5068, 0.0135, 0.3065)  2 Cd 2.17-2.28
F (0.9154, 0.3025, 0.5481)  4 Cd 2.33-2.42
F (0.3872, 0.3025, 0.5481)  4 Cd 2.33-2.42
F (0.9511, 0.4001, 0.1481)  2 Cd 2.20-2.26
F (0.4490, 0.4001, 0.1481)  2 Cd 2.20-2.26
F (0.0241, 0.0482, 0.7935)  1 Cd 2.35, 2 Hg 2.42

=====

(6)
CdHg2F8 after structural relaxation. Source: Alexandria via LeMat-Bulk, functional GGA-PBE.

Values from the calculation:
**Energy relative to the elements, uncorrected**: -1.37 eV/atom
**Crystal system**: triclinic
**Density of states at the Fermi level**: 3.8 states/eV/cell

abc: 5.0429 6.2925 7.1663
angles: 125.93 88.28 92.22
With the nearest neighbours (Å) after each atom.
Positions (direct):
F (0.2493, 0.8541, 0.4280)  1 Hg 2.12
F (0.7507, 0.1459, 0.5720)  1 Hg 2.12
F (0.7736, 0.7351, 0.0731)  1 Hg 2.10, 1 Cd 2.28
F (0.2253, 0.2530, 0.3349)  1 Hg 2.10, 1 Cd 2.26
F (0.2871, 0.6803, 0.8378)  1 Hg 2.09, 1 Cd 2.21
F (0.2264, 0.2649, 0.9269)  1 Hg 2.10, 1 Cd 2.28
F (0.7747, 0.7470, 0.6651)  1 Hg 2.10, 1 Cd 2.26
F (0.7129, 0.3197, 0.1622)  1 Hg 2.09, 1 Cd 2.21
Hg (0.2506, 0.2704, 0.6360)  4 F 2.09-2.12
Hg (0.7494, 0.7296, 0.3639)  4 F 2.09-2.12
Cd (0.0000, 0.0000, 0.0000)  6 F 2.21-2.28

=====

(7)
Cd2HgF after structural relaxation. Source: Alexandria via LeMat-Bulk, functional GGA-PBE.

Values from the calculation:
**Energy relative to the elements, uncorrected**: -0.68 eV/atom
**Crystal system**: tetragonal
**Density of states at the Fermi level**: 1.7 states/eV/cell

abc: 7.4632 7.4632 6.0972
angles: 52.26 52.26 90.00
With the nearest neighbours (Å) after each atom.
Positions (direct):
F (0.5000, 0.5000, 0.0000)  4 Cd 2.49
F (0.2500, 0.7500, 0.5000)  4 Cd 2.49
Hg (0.0000, 0.0000, 0.0000)  8 Cd 3.03-3.30, 2 F 3.05
Hg (0.7500, 0.2500, 0.5000)  8 Cd 3.03-3.30, 2 F 3.05
Cd (0.5719, 0.1250, 0.2500)  2 F 2.49
Cd (0.1781, 0.6250, 0.2500)  2 F 2.49
Cd (0.3750, 0.4281, 0.7500)  2 F 2.49
Cd (0.8750, 0.8219, 0.7500)  2 F 2.49

=====

(8)
CdHg2F2 after structural relaxation. Source: Alexandria via LeMat-Bulk, functional GGA-PBE.

Values from the calculation:
**Energy relative to the elements, uncorrected**: -1.08 eV/atom
**Crystal system**: tetragonal
**Density of states at the Fermi level**: 2.1 states/eV/cell

abc: 6.0984 6.0984 5.3374
angles: 90.00 90.00 90.00
With the nearest neighbours (Å) after each atom.
Positions (direct):
F (0.3100, 0.8100, 0.0000)  2 Cd 2.22
F (0.8100, 0.6900, 0.0000)  2 Cd 2.22
F (0.6900, 0.1900, 0.0000)  2 Cd 2.22
F (0.1900, 0.3100, 0.0000)  2 Cd 2.22
Hg (0.1758, 0.6758, 0.5000)  2 F 2.91, 5 Hg 3.03-3.18
Hg (0.6758, 0.8242, 0.5000)  2 F 2.91, 5 Hg 3.03-3.18
Hg (0.8242, 0.3242, 0.5000)  2 F 2.91, 5 Hg 3.03-3.18
Hg (0.3242, 0.1758, 0.5000)  2 F 2.91, 5 Hg 3.03-3.18
Cd (0.0000, 0.0000, 0.0000)  4 F 2.22
Cd (0.5000, 0.5000, 0.0000)  4 F 2.22

=====

(9)
CdHgF5 after structural relaxation. Source: Alexandria via LeMat-Bulk, functional GGA-PBE.

Values from the calculation:
**Energy relative to the elements, uncorrected**: -1.54 eV/atom
**Crystal system**: monoclinic
**Density of states at the Fermi level**: 7.1 states/eV/cell

abc: 5.8663 5.8663 8.3838
angles: 69.29 69.29 71.80
With the nearest neighbours (Å) after each atom.
Positions (direct):
Cd (0.5304, 0.4696, 0.7500)  5 F 2.17-2.24
Cd (0.4696, 0.5304, 0.2500)  5 F 2.17-2.24
Hg (0.0000, 0.0000, 0.0000)  6 F 2.11-2.33
Hg (0.0000, 0.0000, 0.5000)  6 F 2.11-2.33
F (0.2691, 0.2238, 0.8661)  1 Hg 2.11, 1 Cd 2.17
F (0.3268, 0.6976, 0.5441)  1 Hg 2.21, 1 Cd 2.24
F (0.2238, 0.2691, 0.3661)  1 Hg 2.11, 1 Cd 2.17
F (0.8513, 0.1487, 0.7500)  1 Cd 2.21, 2 Hg 2.33
F (0.3024, 0.6732, 0.9559)  1 Hg 2.21, 1 Cd 2.24
F (0.6976, 0.3268, 0.0441)  1 Hg 2.21, 1 Cd 2.24
F (0.1487, 0.8513, 0.2500)  1 Cd 2.21, 2 Hg 2.33
F (0.7762, 0.7309, 0.6339)  1 Hg 2.11, 1 Cd 2.17
F (0.6732, 0.3024, 0.4559)  1 Hg 2.21, 1 Cd 2.24
F (0.7309, 0.7762, 0.1339)  1 Hg 2.11, 1 Cd 2.17

=====

(10)
Cd2HgF6 after structural relaxation. Source: Alexandria via LeMat-Bulk, functional GGA-PBE.

Values from the calculation:
**Energy relative to the elements, uncorrected**: -1.91 eV/atom
**Crystal system**: trigonal
**Density of states at the Fermi level**: 0.0 states/eV/cell

abc: 4.7633 5.9365 5.9365
angles: 120.00 90.00 90.00
With the nearest neighbours (Å) after each atom.
Positions (direct):
Cd (0.5000, 0.6667, 0.3333)  6 F 2.27
Cd (0.5000, 0.3333, 0.6667)  6 F 2.27
Hg (0.0000, 0.0000, 0.0000)  6 F 2.36
F (0.7397, 0.6613, 0.6613)  2 Cd 2.27, 1 Hg 2.36
F (0.2603, 0.6613, 0.0000)  2 Cd 2.27, 1 Hg 2.36
F (0.2603, 0.0000, 0.6613)  2 Cd 2.27, 1 Hg 2.36
F (0.7397, 0.3387, 0.0000)  2 Cd 2.27, 1 Hg 2.36
F (0.2603, 0.3387, 0.3387)  2 Cd 2.27, 1 Hg 2.36
F (0.7397, 0.0000, 0.3387)  2 Cd 2.27, 1 Hg 2.36

=====

(11)
Cd2HgF after structural relaxation. Source: Alexandria via LeMat-Bulk, functional GGA-PBE.

Values from the calculation:
**Energy relative to the elements, uncorrected**: -0.64 eV/atom
**Crystal system**: trigonal
**Density of states at the Fermi level**: 0.9 states/eV/cell

abc: 3.6496 3.6496 8.6542
angles: 77.83 77.83 60.00
With the nearest neighbours (Å) after each atom.
Positions (direct):
F (0.0000, 0.0000, 0.0000)  2 Cd 2.16
Hg (0.5000, 0.5000, 0.5000)  6 Cd 2.93
Cd (0.0858, 0.0858, 0.7426)  1 F 2.16
Cd (0.9142, 0.9142, 0.2574)  1 F 2.16

=====

(12)
Cd3Hg5F12 after structural relaxation. Source: Alexandria via LeMat-Bulk, functional GGA-PBE.

Values from the calculation:
**Energy relative to the elements, uncorrected**: -1.44 eV/atom
**Crystal system**: cubic
**Density of states at the Fermi level**: 24.3 states/eV/cell

abc: 12.1611 12.1611 12.1611
angles: 109.47 109.47 109.47
With the nearest neighbours (Å) after each atom.
Positions (direct):
Cd (0.7500, 0.3750, 0.1250)  4 F 2.28
Cd (0.8750, 0.7500, 0.1250)  4 F 2.28
Cd (0.3750, 0.7500, 0.6250)  4 F 2.28
Cd (0.2500, 0.1250, 0.3750)  4 F 2.28
Cd (0.8750, 0.1250, 0.2500)  4 F 2.28
Cd (0.3750, 0.6250, 0.2500)  4 F 2.28
Cd (0.6250, 0.3750, 0.7500)  4 F 2.28
Cd (0.1250, 0.8750, 0.7500)  4 F 2.28
Cd (0.7500, 0.8750, 0.6250)  4 F 2.28
Cd (0.6250, 0.2500, 0.3750)  4 F 2.28
Cd (0.1250, 0.2500, 0.8750)  4 F 2.28
Cd (0.2500, 0.6250, 0.8750)  4 F 2.28
Hg (0.1250, 0.3750, 0.2500)  4 F 2.46
Hg (0.0000, 0.5000, 0.0000)  6 F 2.38
Hg (0.0000, 0.0000, 0.0000)  6 F 2.38
Hg (0.3750, 0.2500, 0.1250)  4 F 2.46
Hg (0.5000, 0.0000, 0.5000)  6 F 2.38
Hg (0.5000, 0.5000, 0.0000)  6 F 2.38
Hg (0.1250, 0.7500, 0.3750)  4 F 2.46
Hg (0.7500, 0.1250, 0.8750)  4 F 2.46
Hg (0.7500, 0.6250, 0.3750)  4 F 2.46
Hg (0.3750, 0.1250, 0.7500)  4 F 2.46
Hg (0.6250, 0.8750, 0.2500)  4 F 2.46
Hg (0.5000, 0.5000, 0.5000)  6 F 2.38
Hg (0.5000, 0.0000, 0.0000)  6 F 2.38
Hg (0.0000, 0.0000, 0.5000)  6 F 2.38
Hg (0.2500, 0.3750, 0.6250)  4 F 2.46
Hg (0.2500, 0.8750, 0.1250)  4 F 2.46
Hg (0.0000, 0.5000, 0.5000)  6 F 2.38
Hg (0.8750, 0.2500, 0.6250)  4 F 2.46
Hg (0.6250, 0.7500, 0.8750)  4 F 2.46
Hg (0.8750, 0.6250, 0.7500)  4 F 2.46
F (0.7320, 0.1224, 0.0701)  1 Cd 2.28, 2 Hg 2.38-2.46
F (0.3380, 0.5701, 0.4476)  1 Cd 2.28, 2 Hg 2.38-2.46
F (0.9299, 0.3776, 0.2680)  1 Cd 2.28, 2 Hg 2.38-2.46
F (0.5701, 0.2320, 0.1224)  1 Cd 2.28, 2 Hg 2.38-2.46
F (0.6096, 0.7320, 0.6620)  1 Cd 2.28, 2 Hg 2.38-2.46
F (0.9299, 0.5524, 0.1620)  1 Cd 2.28, 2 Hg 2.38-2.46
F (0.3380, 0.7680, 0.3904)  1 Cd 2.28, 2 Hg 2.38-2.46
F (0.0524, 0.8904, 0.1224)  1 Cd 2.28, 2 Hg 2.38-2.46
F (0.5524, 0.9299, 0.6620)  1 Cd 2.28, 2 Hg 2.38-2.46
F (0.7320, 0.6096, 0.1620)  1 Cd 2.28, 2 Hg 2.38-2.46
F (0.7680, 0.4299, 0.3776)  1 Cd 2.28, 2 Hg 2.38-2.46
F (0.8380, 0.9476, 0.0701)  1 Cd 2.28, 2 Hg 2.38-2.46
F (0.1224, 0.7320, 0.5701)  1 Cd 2.28, 2 Hg 2.38-2.46
F (0.3776, 0.4476, 0.1096)  1 Cd 2.28, 2 Hg 2.38-2.46
F (0.1096, 0.9476, 0.3776)  1 Cd 2.28, 2 Hg 2.38-2.46
F (0.3904, 0.1224, 0.5524)  1 Cd 2.28, 2 Hg 2.38-2.46
F (0.1096, 0.1620, 0.2320)  1 Cd 2.28, 2 Hg 2.38-2.46
F (0.4299, 0.6620, 0.0524)  1 Cd 2.28, 2 Hg 2.38-2.46
F (0.8380, 0.8904, 0.2680)  1 Cd 2.28, 2 Hg 2.38-2.46
F (0.1224, 0.3904, 0.0524)  1 Cd 2.28, 2 Hg 2.38-2.46
F (0.3776, 0.9299, 0.7680)  1 Cd 2.28, 2 Hg 2.38-2.46
F (0.5524, 0.6224, 0.3904)  1 Cd 2.28, 2 Hg 2.38-2.46
F (0.9476, 0.8380, 0.5701)  1 Cd 2.28, 2 Hg 2.38-2.46
F (0.7680, 0.3380, 0.8904)  1 Cd 2.28, 2 Hg 2.38-2.46
F (0.4476, 0.3776, 0.6096)  1 Cd 2.28, 2 Hg 2.38-2.46
F (0.0524, 0.1620, 0.4299)  1 Cd 2.28, 2 Hg 2.38-2.46
F (0.2320, 0.6620, 0.1096)  1 Cd 2.28, 2 Hg 2.38-2.46
F (0.1620, 0.1096, 0.7320)  1 Cd 2.28, 2 Hg 2.38-2.46
F (0.6224, 0.0701, 0.2320)  1 Cd 2.28, 2 Hg 2.38-2.46
F (0.8776, 0.6096, 0.9476)  1 Cd 2.28, 2 Hg 2.38-2.46
F (0.5701, 0.3380, 0.9476)  1 Cd 2.28, 2 Hg 2.38-2.46
F (0.6096, 0.8776, 0.4476)  1 Cd 2.28, 2 Hg 2.38-2.46
F (0.8904, 0.8380, 0.7680)  1 Cd 2.28, 2 Hg 2.38-2.46
F (0.8904, 0.0524, 0.6224)  1 Cd 2.28, 2 Hg 2.38-2.46
F (0.8776, 0.2680, 0.4299)  1 Cd 2.28, 2 Hg 2.38-2.46
F (0.1620, 0.0524, 0.9299)  1 Cd 2.28, 2 Hg 2.38-2.46
F (0.6224, 0.5524, 0.8904)  1 Cd 2.28, 2 Hg 2.38-2.46
F (0.4476, 0.0701, 0.3380)  1 Cd 2.28, 2 Hg 2.38-2.46
F (0.2680, 0.3904, 0.8380)  1 Cd 2.28, 2 Hg 2.38-2.46
F (0.2320, 0.5701, 0.6224)  1 Cd 2.28, 2 Hg 2.38-2.46
F (0.9476, 0.1096, 0.8776)  1 Cd 2.28, 2 Hg 2.38-2.46
F (0.6620, 0.2320, 0.6096)  1 Cd 2.28, 2 Hg 2.38-2.46
F (0.4299, 0.7680, 0.8776)  1 Cd 2.28, 2 Hg 2.38-2.46
F (0.0701, 0.4476, 0.8380)  1 Cd 2.28, 2 Hg 2.38-2.46
F (0.3904, 0.2680, 0.3380)  1 Cd 2.28, 2 Hg 2.38-2.46
F (0.0701, 0.6224, 0.7320)  1 Cd 2.28, 2 Hg 2.38-2.46
F (0.6620, 0.4299, 0.5524)  1 Cd 2.28, 2 Hg 2.38-2.46
F (0.2680, 0.8776, 0.9299)  1 Cd 2.28, 2 Hg 2.38-2.46